# 1
# MgNiHgTe3

A relaxed structure of MgNiHgTe3 (GGA-PBE, the Open Quantum Materials Database).

a = 4.1045 Å, b = 13.6683 Å, c = 11.4422 Å
α = 90.00°, β = 90.00°, γ = 90.00°
Closest atoms and distances in Å follow each position.
Space group Cmcm (No. 63)
Inequivalent atoms, fractional coordinates:
Mg 0.0000 0.2359 0.2500  6 Te 2.94-3.20
Ni 0.0000 0.0509 0.7500  4 Te 2.50-2.52
Hg 0.0000 0.5000 0.0000  2 Te 2.96
Te 0.0000 0.1803 0.5953  1 Ni 2.50
Te 0.0000 0.4433 0.7500  2 Ni 2.52

As for the size of the total moment: 0.0021 μB per atom. The value obtained for the uncorrected energy is -2.934 eV per atom.



# 2
# MgNiHgTe3

A relaxed structure of MgNiHgTe3 (GGA-PBE, the Open Quantum Materials Database).

a = 3.9210 Å, b = 13.2982 Å, c = 12.0842 Å
α = 90.00°, β = 90.00°, γ = 90.00°
Closest atoms and distances in Å follow each position.
Space group Cmcm (No. 63)
Inequivalent atoms, fractional coordinates:
Mg 0.0000 0.1806 0.2500  2 Te 2.84, 2 Hg 3.07
Ni 0.0000 0.0000 0.0000  4 Te 2.56
Hg 0.0000 0.4971 0.7500  4 Te 2.95-2.97, 2 Mg 3.07
Te 0.0000 0.1645 0.7500  2 Mg 2.84, 2 Hg 2.97
Te 0.0000 0.3819 0.5411  2 Ni 2.56

As for the size of the total moment: 0.0016 μB per atom. The value obtained for the uncorrected energy is -2.884 eV per atom.



# 3
# MgZrNiHg

A relaxed structure of MgZrNiHg (GGA-PBE, the Open Quantum Materials Database).

a = 6.6969 Å, b = 6.6969 Å, c = 6.6969 Å
α = 90.00°, β = 90.00°, γ = 90.00°
Closest atoms and distances in Å follow each position.
Space group F-43m (No. 216)
Inequivalent atoms, fractional coordinates:
Mg 0.0000 0.0000 0.0000  4 Zr 2.90, 4 Ni 2.90
Zr 0.2500 0.2500 0.7500  4 Hg 2.90, 4 Mg 2.90
Ni 0.2500 0.2500 0.2500  4 Mg 2.90, 4 Hg 2.90
Hg 0.0000 0.0000 0.5000  4 Ni 2.90, 4 Zr 2.90

As for the size of the total moment: 0.0012 μB per atom. The value obtained for the uncorrected energy is -3.978 eV per atom.